[1]
InHSe2 at its PBEsol-relaxed geometry. Source: Alexandria, functional meta-GGA SCAN.

Unit cell a=4.0472 b=4.0472 c=19.2054 alpha=90.00 beta=90.00 gamma=120.00
Space group R-3m (No. 166, hexagonal axes)
One atom of each set of equivalent atoms:
In (0.0000, 0.0000, 0.0000)
H (0.0000, 0.0000, 0.5000)
Se (0.0000, 0.0000, 0.4085)

## Properties
Total magnetic moment in μB/atom: 0.000
VASP energy in eV per atom: -19.54
E above lowest polymorph in meV/atom: 97

=====

[2]
InHSe2 at its PBEsol-relaxed geometry. Source: Alexandria, functional meta-GGA SCAN.

Unit cell a=6.8096 b=4.0424 c=6.8587 alpha=90.00 beta=91.44 gamma=90.00
Space group Pc (No. 7)
One atom of each set of equivalent atoms:
In (0.0000, 0.2413, 0.0000)
H (0.3678, 0.4532, 0.1904)
Se (0.3701, 0.2134, 0.0215)
Se (0.8159, 0.2564, 0.3316)

## Properties
Total magnetic moment in μB/atom: 0.000
VASP energy in eV per atom: -19.64
E above lowest polymorph in meV/atom: 0

=====

[3]
InHSe2 at its PBEsol-relaxed geometry. Source: Alexandria, functional meta-GGA SCAN.

Unit cell a=5.4859 b=5.4859 c=10.8872 alpha=90.00 beta=90.00 gamma=90.00
Space group I-42d (No. 122)
One atom of each set of equivalent atoms:
In (0.0000, 0.0000, 0.0000)
H (0.0000, 0.0000, 0.5000)
Se (0.1826, 0.2500, 0.6250)

## Properties
Total magnetic moment in μB/atom: 0.000
VASP energy in eV per atom: -19.30
E above lowest polymorph in meV/atom: 340

=====

[4]
InSi3H at its PBEsol-relaxed geometry. Source: Alexandria, functional meta-GGA SCAN.

Unit cell a=4.1587 b=4.1587 c=4.1587 alpha=90.00 beta=90.00 gamma=90.00
Space group Pm-3m (No. 221)
One atom of each set of equivalent atoms:
In (0.0000, 0.0000, 0.0000)
Si (0.0000, 0.5000, 0.5000)
H (0.5000, 0.5000, 0.5000)

## Properties
Total magnetic moment in μB/atom: 0.000
VASP energy in eV per atom: -12.58
E above lowest polymorph in meV/atom: 0

=====

[5]
InSi3H at its PBEsol-relaxed geometry. Source: Alexandria, functional meta-GGA SCAN.

Unit cell a=5.1098 b=5.1098 c=5.1098 alpha=90.00 beta=90.00 gamma=90.00
Space group Pm-3m (No. 221)
One atom of each set of equivalent atoms:
In (0.0000, 0.0000, 0.0000)
Si (0.0000, 0.0000, 0.5000)
H (0.5000, 0.5000, 0.5000)

## Properties
Total magnetic moment in μB/atom: 0.155
VASP energy in eV per atom: -11.43
E above lowest polymorph in meV/atom: 1148

=====

[6]
Sr3InH at its PBEsol-relaxed geometry. Source: Alexandria, functional meta-GGA SCAN.

Unit cell a=5.2540 b=5.2540 c=5.2540 alpha=90.00 beta=90.00 gamma=90.00
Space group Pm-3m (No. 221)
One atom of each set of equivalent atoms:
Sr (0.0000, 0.0000, 0.5000)
In (0.5000, 0.5000, 0.5000)
H (0.0000, 0.0000, 0.0000)

## Properties
Total magnetic moment in μB/atom: 0.000
VASP energy in eV per atom: -21.12
E above lowest polymorph in meV/atom: 0